{
  "formula": "Sr2AlZn3Ag4",
  "functional": "PBE",
  "state": "relaxed",
  "cell": [[-3.247, 3.175, 0.792], [-1.367, -2.329, 3.736], [6.821, 5.497, 5.924]],
  "species": ["Ag", "Ag", "Ag", "Ag", "Al", "Zn", "Zn", "Zn", "Sr", "Sr"],
  "fractional_positions": [[0.000, 0.000, 0.000], [0.500, 0.500, 0.000], [0.000, 0.500, 0.375], [0.500, 0.000, 0.625], [0.500, 0.500, 0.500], [0.500, 0.000, 0.873], [0.000, 0.500, 0.127], [0.000, 0.000, 0.500], [0.500, 0.000, 0.249], [0.000, 0.500, 0.751]],
  "space_group": "P-4m2",
  "vol_a3_per_atom": 22.47,
  "n_ef_per_ev_cell": 4.5,
  "formation_enthalpy_0k_mev_per_atom": -215
}